KZrSc: relaxed, PBE.

Cell: 5.8445 5.8445 6.1468 Å, 90.00 90.00 120.00°
Space group P6_3/mmc (No. 194)
Unique sites:
K 0.0000 0.0000 0.0000 x2
Zr 0.3333 0.6667 0.2500 x2
Sc 0.3333 0.6667 0.7500 x2

## Properties
Energy of formation (meV per atom): 946.6
Energy relative to the lowest polymorph listed for this composition (meV per atom): 646.9
DOS(E_F) (states/eV/atom): 0.71

---

K2ZrSc: relaxed, PBE.

Cell: 3.3773 5.6579 13.8398 Å, 90.00 90.00 90.00°
Space group Cmmm (No. 65)
Unique sites:
K 0.0000 0.0000 0.2481 x4
Zr 0.0000 0.5000 0.0000 x2
Sc 0.0000 0.5000 0.5000 x2

## Properties
Energy of formation (meV per atom): 790.0
Energy relative to the lowest polymorph listed for this composition (meV per atom): 378.7
DOS(E_F) (states/eV/atom): 1.61